A plane-wave DFT calculation with GGA-PBE was carried out for a geometry-optimized AuBr structure.

Summary:
N(E_F) = 3.0 states/eV per cell
formation energy without anion corrections = -31 meV per atom

```
data_AuBr
_chemical_formula_sum 'Au3 Br3'
_space_group_name_H-M_alt 'P 1'
_space_group_IT_number 1
_cell_length_a 8.2650
_cell_length_b 8.2650
_cell_length_c 8.2019
_cell_angle_alpha 58.00
_cell_angle_beta 58.00
_cell_angle_gamma 26.22
loop_
_space_group_symop_operation_xyz
'x,y,z'
loop_
_atom_site_label
_atom_site_type_symbol
_atom_site_fract_x
_atom_site_fract_y
_atom_site_fract_z
_atom_site_occupancy
Au1 Au 0.3595 0.3595 0.5574 1
Au2 Au 0.7119 0.7119 0.6599 1
Au3 Au 0.2545 0.2545 0.3763 1
Br1 Br 0.0994 0.0994 0.8950 1
Br2 Br 0.9765 0.9765 0.5270 1
Br3 Br 0.7649 0.7649 0.1512 1
```